# 1
# GGA-PBE NbH3, relaxed
data_NbH3
_chemical_formula_sum 'Nb1 H3'
_space_group_name_H-M_alt 'P m m m'
_space_group_IT_number 47
_cell_length_a 2.850
_cell_length_b 3.046
_cell_length_c 3.063
_cell_angle_alpha 90.00
_cell_angle_beta 90.00
_cell_angle_gamma 90.00
loop_
_space_group_symop_operation_xyz
'x,y,z'
'-x,-y,-z'
'-x,-y,z'
'x,y,-z'
'x,-y,-z'
'-x,y,z'
'-x,y,-z'
'x,-y,z'
loop_
_atom_site_label
_atom_site_type_symbol
_atom_site_fract_x
_atom_site_fract_y
_atom_site_fract_z
Nb1 Nb 0.000 0.000 0.000
H1 H 0.000 0.500 0.500
H2 H 0.500 0.000 0.500
H3 H 0.500 0.500 0.000
# final energy	-4.988	eV/atom
# total magnetic moment	0.0	μB/f.u.

=====

# 2
# GGA-PBE NbH, relaxed
data_NbH
_chemical_formula_sum 'Nb4 H4'
_space_group_name_H-M_alt 'C c c m'
_space_group_IT_number 66
_space_group_name_Hall '-C 2 2c'
_cell_length_a 3.510
_cell_length_b 4.878
_cell_length_c 4.901
_cell_angle_alpha 90.00
_cell_angle_beta 90.00
_cell_angle_gamma 90.00
loop_
_atom_site_label
_atom_site_type_symbol
_atom_site_fract_x
_atom_site_fract_y
_atom_site_fract_z
Nb1 Nb 0.250 0.250 0.000
H1 H 0.000 0.000 0.250
# final energy	-6.958	eV/atom
# total magnetic moment	0.0	μB/f.u.